A plane-wave DFT calculation with GGA+U was carried out for Ba3DyCo2O8 after structural relaxation.

Structure (POSCAR):
```
Ba3DyCo2O8
1.0
-4.676 -2.934 -2.337
4.701 1.381 -3.453
3.260 -6.621 1.791
O Ba Co Dy
8 3 2 1
Cartesian
4.794 -6.595 -1.312
1.442 -6.037 -2.994
-0.856 -6.712 -1.306
1.430 -5.277 -0.163
4.141 -1.462 -2.692
1.843 -2.137 -1.004
1.856 -2.897 -3.835
-1.509 -1.580 -2.686
-0.439 -3.752 -2.098
0.000 0.000 0.000
3.725 -4.422 -1.900
2.287 -1.503 -2.690
0.998 -6.671 -1.308
1.630 -3.310 0.896
```

Raw total energy = -6.44 eV/atom